(1)
Below is a relaxed YHoAl2 crystal, with properties calculated at the PBE level.

```
YHoAl2
1.0
-1.3088 -2.3469 4.2751
0.4957 -5.7815 -3.0222
5.7704 -3.0826 0.0742
Ho Al Y
2 4 2
Cartesian
2.1290 -3.0117 -1.0016 Ho
3.5041 -7.0561 0.1812 Ho
0.3900 -2.6509 1.6462 Al
0.4428 -5.6462 0.0180 Al
3.4751 -4.0947 1.7981 Al
5.2237 -7.3896 -2.4576 Al
5.0538 -4.4278 -0.8836 Y
2.2282 -5.8736 -2.5423 Y
```

Properties
Relative energy among the computed polymorphs ... 220 meV/atom
Total DFT energy (no corrections) ... -4.82 eV/atom
Crystal system ... orthorhombic
Space group ... Amm2, No. 38

(2)
Below is a relaxed Y3Ho2Al3 crystal, with properties calculated at the PBE level.

```
Y3Ho2Al3
1.0
6.8794 0.0000 0.0000
-3.4397 5.9578 0.0000
0.0000 0.0000 5.1251
Al Y Ho
3 3 2
Cartesian
4.9413 1.1190 2.5626 Al
3.4397 3.7198 2.5626 Al
1.9382 1.1190 2.5626 Al
1.7930 2.9366 0.0000 Y
3.4397 0.0845 0.0000 Y
5.0864 2.9366 0.0000 Y
0.0000 3.9719 2.5626 Ho
0.0000 0.0000 0.0000 Ho
```

Properties
Relative energy among the computed polymorphs ... 138 meV/atom
Total DFT energy (no corrections) ... -5.09 eV/atom
Crystal system ... hexagonal
Space group ... P-6m2, No. 187

(3)
Below is a relaxed YHoAl6 crystal, with properties calculated at the PBE level.

```
YHoAl6
1.0
-5.3392 -3.2687 0.0980
4.2914 -1.1456 -4.4128
1.9760 -3.1455 2.7382
Al Ho Y
6 1 1
Cartesian
1.5904 -2.6053 -0.2518 Al
1.5581 -2.6707 -4.1923 Al
2.0202 -0.7238 -2.2893 Al
-0.3346 -2.1654 -2.2460 Al
3.4907 -3.1126 -2.2059 Al
1.1264 -4.5601 -2.1625 Al
0.0000 0.0000 0.0000 Ho
-1.1410 -4.1337 -0.0365 Y
```

Properties
Total DFT energy (no corrections) ... -4.62 eV/atom
Crystal system ... hexagonal
Space group ... P-6m2, No. 187

(4)
Below is a relaxed Y3Ho2Al3 crystal, with properties calculated at the PBE level.

```
Y3Ho2Al3
1.0
-0.4605 4.5900 1.8060
-6.1917 0.1644 -1.9968
-0.5531 -2.4221 6.0149
Y Al Ho
3 3 2
Cartesian
-2.8604 -2.0540 4.4910 Y
-0.8043 2.1029 1.2450 Y
-5.6244 -0.7861 0.5637 Y
-3.9687 2.0090 0.6766 Al
-1.5354 0.8928 4.1340 Al
-5.9332 -1.9860 3.5346 Al
-2.4939 -0.8348 1.4857 Ho
-4.6797 0.8057 3.5537 Ho
```

Properties
Relative energy among the computed polymorphs ... 0 meV/atom
Total DFT energy (no corrections) ... -5.22 eV/atom
Crystal system ... orthorhombic
Space group ... Amm2, No. 38

(5)
Below is a relaxed Y2HoAl crystal, with properties calculated at the PBE level.

```
Y2HoAl
1.0
3.4286 -5.9188 0.0000
3.4286 5.9188 0.0000
0.0000 0.0000 5.3018
Ho Y Al
2 4 2
Cartesian
3.4286 -2.0849 3.9764 Ho
3.4286 2.0849 1.3255 Ho
5.2122 -1.0469 1.3255 Y
1.6449 -1.0469 1.3255 Y
5.2122 1.0469 3.9764 Y
1.6449 1.0469 3.9764 Y
3.4286 3.9417 3.9764 Al
3.4286 -3.9417 1.3255 Al
```

Properties
Relative energy among the computed polymorphs ... 0 meV/atom
Total DFT energy (no corrections) ... -5.51 eV/atom
Crystal system ... orthorhombic
Space group ... Cmcm, No. 63

(6)
Below is a relaxed HoAlZn crystal, with properties calculated at the PBE level.

```
HoAlZn
1.0
4.4786 0.0000 0.0000
-2.2393 3.8786 0.0000
0.0000 0.0000 3.5126
Zn Ho Al
1 1 1
Cartesian
0.0000 2.5857 2.9280 Zn
2.2393 1.2929 1.1706 Ho
0.0000 0.0000 2.9266 Al
```

Properties
Total DFT energy (no corrections) ... -3.65 eV/atom
Crystal system ... hexagonal
Space group ... P-6m2, No. 187

(7)
Below is a relaxed Ho3Al3Zn8 crystal, with properties calculated at the PBE level.

```
Ho3Al3Zn8
1.0
-6.4154 -1.0449 4.9165
-5.6478 4.2753 -4.0305
4.7810 -6.5725 0.6047
Al Zn Ho
3 8 3
Cartesian
-1.2976 -6.0478 4.3836 Al
-0.4334 -1.1486 -1.7129 Al
-0.3368 -1.5695 1.1376 Al
-2.5536 -2.2879 2.1803 Zn
-4.7285 -1.0541 -0.6896 Zn
-8.1747 -0.0365 2.0928 Zn
0.8925 -3.3055 -0.6021 Zn
-2.4905 -2.3995 -0.3537 Zn
-2.9821 -4.2847 3.6275 Zn
-4.3001 0.9426 -2.1368 Zn
-4.7917 -0.9425 1.8443 Zn
-6.0316 1.6152 0.4430 Ho
-2.3623 0.6326 0.1735 Ho
-9.7009 2.5979 0.7125 Ho
```

Properties
Total DFT energy (no corrections) ... -2.88 eV/atom
Crystal system ... orthorhombic
Space group ... Immm, No. 71

(8)
Below is a relaxed HoZrAl crystal, with properties calculated at the PBE level.

```
HoZrAl
1.0
-3.1053 -3.2576 1.9153
-4.3607 1.4630 1.6636
-4.0734 -1.2123 -2.4209
Ho Zr Al
1 1 1
Cartesian
-8.6545 -2.2552 0.8685 Ho
0.0000 0.0000 0.0000 Zr
-2.8848 -0.7517 0.2895 Al
```

Properties
Relative energy among the computed polymorphs ... 0 meV/atom
Total DFT energy (no corrections) ... -5.03 eV/atom
Crystal system ... cubic
Space group ... F-43m, No. 216

(9)
Below is a relaxed Nd2AlInI2 crystal, with properties calculated at the PBE level.

```
Nd2AlInI2
1.0
-4.3573 0.0510 1.0273
2.8773 -2.2812 2.5615
1.7805 10.1595 7.0477
I Nd In Al
2 2 1 1
Cartesian
1.1863 6.7690 4.6956 I
-1.3541 2.6498 3.8808 I
1.9332 6.8697 7.8588 Nd
0.7753 0.2623 3.2753 Nd
-0.2064 9.1985 8.4236 In
0.0471 0.2690 0.1866 Al
```

Properties
Total DFT energy (no corrections) ... -4.11 eV/atom
Crystal system ... trigonal
Space group ... P3m1, No. 156

(10)
Below is a relaxed Pr2AlInI2 crystal, with properties calculated at the PBE level.

```
Pr2AlInI2
1.0
-0.8357 -4.2611 -1.1775
-0.2007 1.2191 4.3261
-12.0950 2.7406 -1.3334
In I Pr Al
1 2 2 1
Cartesian
-0.9074 -2.3701 0.6258 In
-4.0748 0.9233 -0.4492 I
-8.6690 -0.6114 -0.2299 I
-10.3882 1.6528 1.3918 Pr
-2.5563 -0.1218 2.2552 Pr
-11.7623 2.6652 -1.2967 Al
```

Properties
Total DFT energy (no corrections) ... -4.12 eV/atom
Crystal system ... trigonal
Space group ... P3m1, No. 156

(11)
Below is a relaxed AlIrI7 crystal, with properties calculated at the PBE level.

```
AlIrI7
1.0
7.5805 0.0000 0.0000
0.0000 6.7293 0.0000
-3.0612 0.0000 16.5949
Al I Ir
2 14 2
Cartesian
4.4656 3.4492 5.8847 Al
2.9351 3.2801 14.1822 Al
4.7826 0.9506 9.8521 I
4.4973 0.8650 5.9204 I
3.1468 4.1190 3.8555 I
3.6076 4.5656 8.0750 I
-0.5547 4.6493 9.7522 I
6.3132 5.7787 1.5546 I
0.9759 2.0800 1.4548 I
2.0770 2.1637 16.3724 I
0.4219 0.9503 7.7330 I
-2.2964 2.1645 14.2360 I
-1.1087 5.7790 16.0305 I
2.9667 5.8642 14.2178 I
1.6162 2.6103 12.1529 I
-0.7659 4.5648 5.9386 I
5.8446 6.1879 7.9655 Ir
4.3140 0.5414 16.2629 Ir
```

Properties
Total DFT energy (no corrections) ... -2.83 eV/atom
Crystal system ... monoclinic
Space group ... Pc, No. 7

(12)
Below is a relaxed LaPrAl2I2 crystal, with properties calculated at the PBE level.

```
LaPrAl2I2
1.0
4.4190 0.0000 0.0000
-2.2095 3.8269 0.0000
0.0000 0.0000 12.5963
Al I La Pr
2 2 1 1
Cartesian
0.0000 2.5513 0.1645 Al
2.2095 1.2757 12.4287 Al
2.2095 1.2757 4.2346 I
0.0000 2.5513 8.3686 I
0.0000 0.0000 2.1714 La
0.0000 0.0000 10.4212 Pr
```

Properties
Total DFT energy (no corrections) ... -4.35 eV/atom
Crystal system ... trigonal
Space group ... P3m1, No. 156

(13)
Below is a relaxed LaTbAl2I2 crystal, with properties calculated at the PBE level.

```
LaTbAl2I2
1.0
-3.3338 1.4611 -2.4166
-0.7495 -2.7055 3.3478
-1.2302 9.6909 7.5564
I La Al Tb
2 1 2 1
Cartesian
-2.8767 3.2573 1.9884 I
-2.4205 5.0607 6.3989 I
-1.0194 8.0306 6.2617 La
-1.6357 -1.1214 1.5785 Al
-3.6925 9.6838 6.9994 Al
-0.2124 1.6730 1.3045 Tb
```

Properties
Total DFT energy (no corrections) ... -4.30 eV/atom
Crystal system ... trigonal
Space group ... P3m1, No. 156

(14)
Below is a relaxed PrNdAl2I2 crystal, with properties calculated at the PBE level.

```
PrNdAl2I2
1.0
-0.2612 4.3659 0.2467
-2.6990 -2.2094 -2.6502
-8.2775 -1.0196 9.2800
I Al Nd Pr
2 2 1 1
Cartesian
-7.3856 -0.6950 4.4807 I
-3.8493 1.8322 2.3927 I
-1.9973 -0.0313 -1.5603 Al
-9.2429 1.1678 8.4396 Al
-1.4261 -0.1757 1.5988 Nd
-6.8518 -0.8440 7.6816 Pr
```

Properties
Total DFT energy (no corrections) ... -4.30 eV/atom
Crystal system ... trigonal
Space group ... P3m1, No. 156

(15)
Below is a relaxed PrNd2AlI3 crystal, with properties calculated at the PBE level.

```
PrNd2AlI3
1.0
6.3113 0.0000 0.0000
0.0000 6.3113 0.0000
0.0000 0.0000 6.3046
I Nd Al Pr
3 2 1 1
Cartesian
3.1557 3.1557 3.1523 I
3.1557 0.0000 0.0000 I
0.0000 3.1557 0.0000 I
0.0000 3.1557 3.1523 Nd
3.1557 0.0000 3.1523 Nd
0.0000 0.0000 3.1523 Al
0.0000 0.0000 0.0000 Pr
```

Properties
Total DFT energy (no corrections) ... -4.17 eV/atom
Crystal system ... tetragonal
Space group ... P4/mmm, No. 123

(16)
Below is a relaxed Nd2AlSiI2 crystal, with properties calculated at the PBE level.

```
Nd2AlSiI2
1.0
-0.2813 4.1658 -0.6440
-2.3709 -1.8429 2.9716
9.1753 1.9370 8.5221
Al I Nd Si
1 2 2 1
Cartesian
9.0719 1.9152 8.4261 Al
3.0440 0.6426 2.8273 I
4.4569 1.4544 7.4612 I
0.5407 2.4835 1.9717 Nd
6.6757 3.7787 7.6700 Nd
-1.5680 0.1824 1.8652 Si
```

Properties
Total DFT energy (no corrections) ... -4.69 eV/atom
Crystal system ... trigonal
Space group ... P3m1, No. 156

(17)
Below is a relaxed Sm2AlNiI2 crystal, with properties calculated at the PBE level.

```
Sm2AlNiI2
1.0
-2.7623 3.0366 -0.9131
-1.3644 -3.8302 1.0737
-0.1906 3.3899 11.8504
Al I Ni Sm
1 2 1 2
Cartesian
-0.1902 3.3824 11.8240 Al
-2.4239 3.0178 7.6849 I
-0.0630 1.1201 3.9156 I
-2.2969 0.7586 -0.2126 Ni
-1.9907 1.3110 10.3824 Sm
-1.8604 -1.0073 2.2780 Sm
```

Properties
Total DFT energy (no corrections) ... -4.57 eV/atom
Crystal system ... trigonal
Space group ... P3m1, No. 156

(18)
Below is a relaxed Tb2AlNiI2 crystal, with properties calculated at the PBE level.

```
Tb2AlNiI2
1.0
4.1582 0.0000 0.0000
-2.0791 3.6011 0.0000
0.0000 0.0000 12.3599
Al Tb I Ni
1 2 2 1
Cartesian
0.0000 0.0000 12.3336 Al
2.0791 1.2004 1.8946 Tb
2.0791 1.2004 10.4524 Tb
0.0000 0.0000 3.9920 I
0.0000 2.4008 8.3687 I
0.0000 2.4008 0.0384 Ni
```

Properties
Total DFT energy (no corrections) ... -4.54 eV/atom
Crystal system ... trigonal
Space group ... P3m1, No. 156

(19)
Below is a relaxed PmAlI crystal, with properties calculated at the PBE level.

```
PmAlI
1.0
-4.1219 -0.5504 1.2868
-2.3472 -3.3118 -1.5721
4.1532 -7.1069 9.4422
Al I Pm
2 2 2
Cartesian
-2.2917 -6.0251 4.3968 Al
-0.0241 -4.9440 4.7602 Al
-0.9478 -8.5164 7.6372 I
-1.3681 -2.4527 1.5197 I
2.7375 -4.7779 6.3140 Pm
-5.0534 -6.1912 2.8430 Pm
```

Properties
Total DFT energy (no corrections) ... -4.29 eV/atom
Crystal system ... monoclinic
Space group ... C2/m, No. 12

(20)
Below is a relaxed PrSmAl2I2 crystal, with properties calculated at the PBE level.

```
PrSmAl2I2
1.0
4.3665 0.0000 0.0000
-2.1833 3.7815 0.0000
0.0000 0.0000 12.3845
Al Sm Pr I
2 1 1 2
Cartesian
2.1833 1.2605 12.2512 Al
0.0000 2.5210 0.2044 Al
0.0000 0.0000 2.1313 Sm
0.0000 0.0000 10.2567 Pr
0.0000 2.5210 8.1960 I
2.1833 1.2605 4.1138 I
```

Properties
Total DFT energy (no corrections) ... -4.28 eV/atom
Crystal system ... trigonal
Space group ... P3m1, No. 156

(21)
Below is a relaxed TbPrAl2I2 crystal, with properties calculated at the PBE level.

```
TbPrAl2I2
1.0
4.3464 0.0000 0.0000
-2.1732 3.7641 0.0000
0.0000 0.0000 12.2852
Pr I Al Tb
1 2 2 1
Cartesian
0.0000 0.0000 10.1814 Pr
2.1732 1.2547 4.0480 I
0.0000 2.5094 8.1075 I
2.1732 1.2547 12.1738 Al
0.0000 2.5094 0.2367 Al
0.0000 0.0000 2.1083 Tb
```

Properties
Total DFT energy (no corrections) ... -4.25 eV/atom
Crystal system ... trigonal
Space group ... P3m1, No. 156

(22)
Below is a relaxed PrYAl2I2 crystal, with properties calculated at the PBE level.

```
PrYAl2I2
1.0
-3.2835 2.8339 0.2591
1.4889 -1.9345 3.5945
8.0955 9.2323 1.6154
Y Al Pr I
1 2 1 2
Cartesian
5.4231 6.1846 1.0821 Y
4.1070 4.4548 3.3225 Al
2.2761 5.7705 2.1628 Al
2.6774 3.0534 0.5343 Pr
4.9942 8.8703 2.7052 I
1.2195 1.1619 2.7464 I
```

Properties
Total DFT energy (no corrections) ... -4.56 eV/atom
Crystal system ... trigonal
Space group ... P3m1, No. 156

(23)
Below is a relaxed AlReI7 crystal, with properties calculated at the PBE level.

```
AlReI7
1.0
7.9560 0.0000 0.0000
0.0000 6.8793 0.0000
-2.9851 0.0000 16.8149
Re I Al
2 14 2
Cartesian
4.7980 3.9730 16.5529 Re
6.2906 2.9063 8.1454 Re
1.9240 6.1723 12.3854 I
3.4165 0.7070 3.9780 I
0.4632 4.3873 7.7513 I
6.6461 2.4978 1.5799 I
3.9502 1.2225 8.1590 I
-0.4842 1.3030 9.8581 I
2.4577 5.6567 16.5664 I
-1.0294 2.4920 16.1587 I
1.0083 5.5763 1.4507 I
-0.8207 1.2214 5.9586 I
3.3445 2.5141 14.4361 I
4.8371 4.3651 6.0287 I
5.1536 4.3814 9.9873 I
-2.3132 5.6578 14.3661 I
4.7918 0.0878 5.9718 Al
3.2993 6.7914 14.3793 Al
```

Properties
Total DFT energy (no corrections) ... -3.20 eV/atom
Crystal system ... monoclinic
Space group ... Pc, No. 7

(24)
Below is a relaxed Al2Re2I crystal, with properties calculated at the PBE level.

```
Al2Re2I
1.0
4.4966 -4.1072 2.7783
-5.9978 -1.5374 -2.5436
5.0350 1.5155 -4.1424
Al Re I
4 4 2
Cartesian
1.7696 -2.1908 -4.7678 Al
2.8328 0.6386 -2.7145 Al
1.0094 -4.7765 0.9781 Al
1.4474 -1.9613 -1.3098 Al
5.3585 -0.0812 -3.1291 Re
-1.0936 -1.2990 -0.8929 Re
3.4884 -2.5991 -2.8516 Re
-0.7247 -4.4257 -0.9358 Re
-0.4897 -0.0423 -3.3417 I
4.7575 -1.3272 -0.6807 I
```

Properties
Total DFT energy (no corrections) ... -5.97 eV/atom
Crystal system ... orthorhombic
Space group ... Iba2, No. 45

(25)
Below is a relaxed Sm2AlSiI2 crystal, with properties calculated at the PBE level.

```
Sm2AlSiI2
1.0
4.1971 0.0000 0.0000
-2.0986 3.6348 0.0000
0.0000 0.0000 12.5915
I Si Al Sm
2 1 1 2
Cartesian
2.0986 1.2116 4.1347 I
0.0000 2.4232 8.4577 I
2.0986 1.2116 12.4269 Si
0.0000 2.4232 0.1558 Al
0.0000 0.0000 2.0643 Sm
0.0000 0.0000 10.5351 Sm
```

Properties
Total DFT energy (no corrections) ... -4.66 eV/atom
Crystal system ... trigonal
Space group ... P3m1, No. 156